Material: K3MgGe2O6
Method: DFT, PBE-GGA
State: optimized geometry

Volume (Å³/cell): 213.3
Uncorrected formation energy (meV/atom): -1640
Symmetry: P-3m1, No. 164
E (eV per atom): -5.296

abc: 5.907 5.907 7.059
angles: 90.00 90.00 120.00
Positions (direct):
K  0.667  0.333  0.294
O  0.167  0.833  0.311
K  0.333  0.667  0.706
O  0.167  0.333  0.311
Ge  0.667  0.333  0.736
O  0.833  0.667  0.689
Ge  0.333  0.667  0.264
K  0.000  0.000  0.000
O  0.667  0.833  0.311
Mg  0.000  0.000  0.500
O  0.833  0.167  0.689
O  0.333  0.167  0.689